CaCrBi PBE relaxed; ρ = 6.48 g/cm3; uncorrected energy = -5.192 eV/atom; symmetry = Imm2 (44); formation energy = -0.023 eV/atom
1.0
4.691 0.000 0.000
0.000 8.203 0.000
0.000 0.000 8.021
Bi Cr Ca
4 4 4
direct
0.000 0.725 0.783
0.000 0.275 0.783
0.500 0.225 0.283
0.500 0.775 0.283
0.500 0.609 0.955
0.000 0.109 0.455
0.000 0.891 0.455
0.500 0.391 0.955
0.500 0.000 0.699
0.000 0.000 0.083
0.500 0.500 0.583
0.000 0.500 0.199